(1)
VASP calculation (PBE-GGA) on a relaxed structure of K2RbZrCu.

Lattice parameters (Å, degrees): 6.776 6.776 6.938 90.00 90.00 90.00
Space group P4/mmm (No. 123)
Asymmetric unit:
K 0.000 0.500 0.000 x2
Rb 0.000 0.000 0.500 x1
Zr 0.000 0.000 0.000 x1
Cu 0.500 0.500 0.500 x1

Summary:
Raw total energy, eV/atom: -1.7985
Crystal system: tetragonal

---

(2)
VASP calculation (PBE-GGA) on a relaxed structure of KCuRe2.

Lattice parameters (Å, degrees): 2.763 3.752 7.930 90.00 90.00 90.00
Space group Pmm2 (No. 25)
Asymmetric unit:
K 0.000 0.000 0.000 x1
Cu 0.500 0.500 0.684 x1
Re 0.000 0.000 0.503 x1
Re 0.500 0.500 0.354 x1

Summary:
Energy above the most stable polymorph in this dataset, meV/atom: 53.0
Crystal system: orthorhombic